AlTcTeI2 | GGA-PBE | relaxed

Cell lengths 5.447, 5.447, 5.557 Å; angles 90.00, 90.00, 90.00 degrees
Fractional positions:
Al  0.000  0.000  0.000
Tc  0.500  0.500  0.500
Te  0.000  0.000  0.500
I  0.000  0.500  0.000
I  0.500  0.000  0.000

Properties
Its formation energy from raw total energies is 78.12 kJ/mol of atoms. Its space group is P4/mmm, No. 123.